Record 1
# VRuI | Alexandria via LeMat-Bulk | PBE | optimized geometry
data_VRuI
_cell_length_a 3.924
_cell_length_b 4.090
_cell_length_c 9.248
_cell_angle_alpha 90.00
_cell_angle_beta 101.96
_cell_angle_gamma 90.00
_symmetry_space_group_name_H-M 'P 1'
_symmetry_Int_Tables_number 1
loop_
_symmetry_equiv_pos_as_xyz
'x,y,z'
loop_
_atom_site_label
_atom_site_type_symbol
_atom_site_fract_x
_atom_site_fract_y
_atom_site_fract_z
_atom_site_occupancy
I1 I 0.634 0.500 0.965 1
I2 I 0.955 0.000 0.579 1
Ru1 Ru 0.347 0.000 0.346 1
Ru2 Ru 0.857 0.500 0.363 1
V1 V 0.232 0.500 0.197 1
V2 V 0.775 0.000 0.184 1
# polymorph energy (0 for the lowest one): 79 meV per atom
# formation energy (no corrections): -0.2 eV per formula unit
# theoretical density: 6.38 g cm⁻³
# Fermi-level density of states: 3.45 states/eV per cell
# space group: No. 6
# V: 24.20 A^3/atom


Record 2
# VRuI | Alexandria via LeMat-Bulk | PBE | optimized geometry
data_VRuI
_cell_length_a 3.759
_cell_length_b 4.022
_cell_length_c 9.379
_cell_angle_alpha 90.00
_cell_angle_beta 100.33
_cell_angle_gamma 90.00
_symmetry_space_group_name_H-M 'P 1'
_symmetry_Int_Tables_number 1
loop_
_symmetry_equiv_pos_as_xyz
'x,y,z'
loop_
_atom_site_label
_atom_site_type_symbol
_atom_site_fract_x
_atom_site_fract_y
_atom_site_fract_z
_atom_site_occupancy
I1 I 0.167 0.250 0.808 1
I2 I 0.833 0.750 0.192 1
Ru1 Ru 0.960 0.250 0.395 1
Ru2 Ru 0.040 0.750 0.605 1
V1 V 0.569 0.250 0.574 1
V2 V 0.431 0.750 0.426 1
# polymorph energy (0 for the lowest one): 44 meV per atom
# formation energy (no corrections): -0.3 eV per formula unit
# theoretical density: 6.64 g cm⁻³
# Fermi-level density of states: 5.01 states/eV per cell
# space group: No. 11
# V: 23.25 A^3/atom


Record 3
# VRuI3 | Alexandria via LeMat-Bulk | PBE | optimized geometry
data_VRuI3
_cell_length_a 5.377
_cell_length_b 5.377
_cell_length_c 5.377
_cell_angle_alpha 90.00
_cell_angle_beta 90.00
_cell_angle_gamma 90.00
_symmetry_space_group_name_H-M 'P 1'
_symmetry_Int_Tables_number 1
loop_
_symmetry_equiv_pos_as_xyz
'x,y,z'
loop_
_atom_site_label
_atom_site_type_symbol
_atom_site_fract_x
_atom_site_fract_y
_atom_site_fract_z
_atom_site_occupancy
I1 I 0.000 0.500 0.000 1
I2 I 0.000 0.000 0.500 1
I3 I 0.500 0.000 0.000 1
Ru1 Ru 0.000 0.000 0.000 1
V1 V 0.500 0.500 0.500 1
# formation energy (no corrections): 4.0 eV per formula unit
# theoretical density: 5.69 g cm⁻³
# Fermi-level density of states: 10.52 states/eV per cell
# space group: No. 221
# V: 31.10 A^3/atom


Record 4
# VRuI | Alexandria via LeMat-Bulk | PBE | optimized geometry
data_VRuI
_cell_length_a 3.204
_cell_length_b 3.944
_cell_length_c 10.633
_cell_angle_alpha 90.00
_cell_angle_beta 90.27
_cell_angle_gamma 90.00
_symmetry_space_group_name_H-M 'P 1'
_symmetry_Int_Tables_number 1
loop_
_symmetry_equiv_pos_as_xyz
'x,y,z'
loop_
_atom_site_label
_atom_site_type_symbol
_atom_site_fract_x
_atom_site_fract_y
_atom_site_fract_z
_atom_site_occupancy
I1 I 0.245 0.250 0.172 1
I2 I 0.755 0.750 0.828 1
Ru1 Ru 0.753 0.250 0.639 1
Ru2 Ru 0.247 0.750 0.361 1
V1 V 0.749 0.250 0.427 1
V2 V 0.251 0.750 0.573 1
# polymorph energy (0 for the lowest one): 197 meV per atom
# formation energy (no corrections): 0.2 eV per formula unit
# theoretical density: 6.89 g cm⁻³
# Fermi-level density of states: 1.64 states/eV per cell
# space group: No. 11
# V: 22.39 A^3/atom


- Which of these has the lowest Fermi-level density of states?
  number 4


- Among the records above, which one has the lowest V?
  number 4